# Sm2InS PBE optimized geometry
# **Energy above the lowest structure with this stoichiometry**: 0 kJ/mol of formula units
# **Theoretical density**: 6.9 Mg/m³
# **Calculated volume**: 26.98 Å³/atom
# **Raw formation energy**: -1.21 eV per atom
data_Sm2InS
_cell_length_a 8.366
_cell_length_b 8.366
_cell_length_c 8.366
_cell_angle_alpha 27.20
_cell_angle_beta 27.20
_cell_angle_gamma 27.20
_space_group_name_H-M_alt 'P 1'
_space_group_IT_number 1
loop_
_space_group_symop_operation_xyz
'x,y,z'
loop_
_atom_site_label
_atom_site_type_symbol
_atom_site_fract_x
_atom_site_fract_y
_atom_site_fract_z
Sm1 Sm 0.235 0.235 0.235
Sm2 Sm 0.765 0.765 0.765
In1 In 0.000 0.000 0.000
S1 S 0.500 0.500 0.500

---

# Sm2InS5 PBE optimized geometry
# **Theoretical density**: 4.1 Mg/m³
# **Calculated volume**: 29.34 Å³/atom
# **Raw formation energy**: -1.25 eV per atom
data_Sm2InS5
_cell_length_a 7.468
_cell_length_b 7.468
_cell_length_c 12.385
_cell_angle_alpha 90.00
_cell_angle_beta 90.00
_cell_angle_gamma 137.18
_space_group_name_H-M_alt 'P 1'
_space_group_IT_number 1
loop_
_space_group_symop_operation_xyz
'x,y,z'
loop_
_atom_site_label
_atom_site_type_symbol
_atom_site_fract_x
_atom_site_fract_y
_atom_site_fract_z
Sm1 Sm 0.162 0.838 0.571
Sm2 Sm 0.162 0.838 0.929
Sm3 Sm 0.838 0.162 0.071
Sm4 Sm 0.838 0.162 0.429
In1 In 0.173 0.827 0.250
In2 In 0.827 0.173 0.750
S1 S 0.033 0.967 0.104
S2 S 0.033 0.967 0.396
S3 S 0.286 0.714 0.750
S4 S 0.299 0.701 0.091
S5 S 0.299 0.701 0.409
S6 S 0.701 0.299 0.591
S7 S 0.701 0.299 0.909
S8 S 0.714 0.286 0.250
S9 S 0.967 0.033 0.604
S10 S 0.967 0.033 0.896

---

# SmInS3 PBE optimized geometry
# **Energy above the lowest structure with this stoichiometry**: 0 kJ/mol of formula units
# **Theoretical density**: 5.1 Mg/m³
# **Calculated volume**: 23.67 Å³/atom
# **Raw formation energy**: -1.30 eV per atom
data_SmInS3
_cell_length_a 4.035
_cell_length_b 8.385
_cell_length_c 6.994
_cell_angle_alpha 90.00
_cell_angle_beta 90.00
_cell_angle_gamma 90.00
_space_group_name_H-M_alt 'P 1'
_space_group_IT_number 1
loop_
_space_group_symop_operation_xyz
'x,y,z'
loop_
_atom_site_label
_atom_site_type_symbol
_atom_site_fract_x
_atom_site_fract_y
_atom_site_fract_z
Sm1 Sm 0.000 0.111 0.000
Sm2 Sm 0.000 0.889 0.500
In1 In 0.500 0.347 0.436
In2 In 0.500 0.653 0.936
S1 S 0.000 0.244 0.610
S2 S 0.000 0.756 0.110
S3 S 0.500 0.037 0.279
S4 S 0.500 0.366 0.068
S5 S 0.500 0.634 0.568
S6 S 0.500 0.963 0.779

---

# SmIn2SnS4 PBE optimized geometry
# **Theoretical density**: 5.1 Mg/m³
# **Calculated volume**: 25.56 Å³/atom
# **Raw formation energy**: -0.84 eV per atom
data_SmIn2SnS4
_cell_length_a 7.239
_cell_length_b 4.063
_cell_length_c 7.340
_cell_angle_alpha 90.00
_cell_angle_beta 108.70
_cell_angle_gamma 90.00
_space_group_name_H-M_alt 'P 1'
_space_group_IT_number 1
loop_
_space_group_symop_operation_xyz
'x,y,z'
loop_
_atom_site_label
_atom_site_type_symbol
_atom_site_fract_x
_atom_site_fract_y
_atom_site_fract_z
Sm1 Sm 0.000 0.000 0.000
In1 In 0.000 0.500 0.500
In2 In 0.500 0.000 0.500
Sn1 Sn 0.500 0.500 0.000
S1 S 0.230 0.500 0.224
S2 S 0.241 0.000 0.763
S3 S 0.759 0.000 0.237
S4 S 0.770 0.500 0.776

---

# Sm3Tl3InS8 PBE optimized geometry
# **Theoretical density**: 5.7 Mg/m³
# **Calculated volume**: 28.06 Å³/atom
# **Raw formation energy**: -1.19 eV per atom
data_Sm3Tl3InS8
_cell_length_a 8.714
_cell_length_b 8.714
_cell_length_c 8.714
_cell_angle_alpha 55.67
_cell_angle_beta 55.67
_cell_angle_gamma 55.67
_space_group_name_H-M_alt 'P 1'
_space_group_IT_number 1
loop_
_space_group_symop_operation_xyz
'x,y,z'
loop_
_atom_site_label
_atom_site_type_symbol
_atom_site_fract_x
_atom_site_fract_y
_atom_site_fract_z
Sm1 Sm 0.000 0.500 0.500
Sm2 Sm 0.500 0.000 0.500
Sm3 Sm 0.500 0.500 0.000
Tl1 Tl 0.000 0.000 0.500
Tl2 Tl 0.000 0.500 0.000
Tl3 Tl 0.500 0.000 0.000
In1 In 0.000 0.000 0.000
S1 S 0.227 0.227 0.747
S2 S 0.227 0.747 0.227
S3 S 0.253 0.773 0.773
S4 S 0.264 0.264 0.264
S5 S 0.736 0.736 0.736
S6 S 0.747 0.227 0.227
S7 S 0.773 0.253 0.773
S8 S 0.773 0.773 0.253

---

# InSn2S PBE optimized geometry
# **Energy above the lowest structure with this stoichiometry**: 0 kJ/mol of formula units
# **Theoretical density**: 5.9 Mg/m³
# **Calculated volume**: 27.00 Å³/atom
# **Raw formation energy**: 0.00 eV per atom
data_InSn2S
_cell_length_a 10.412
_cell_length_b 10.412
_cell_length_c 10.412
_cell_angle_alpha 19.32
_cell_angle_beta 19.32
_cell_angle_gamma 19.32
_space_group_name_H-M_alt 'P 1'
_space_group_IT_number 1
loop_
_space_group_symop_operation_xyz
'x,y,z'
loop_
_atom_site_label
_atom_site_type_symbol
_atom_site_fract_x
_atom_site_fract_y
_atom_site_fract_z
In1 In 0.000 0.000 0.000
Sn1 Sn 0.103 0.103 0.103
Sn2 Sn 0.897 0.897 0.897
S1 S 0.500 0.500 0.500

---

# In2SnS6 PBE optimized geometry
# **Theoretical density**: 4.1 Mg/m³
# **Calculated volume**: 24.56 Å³/atom
# **Raw formation energy**: -0.10 eV per atom
data_In2SnS6
_cell_length_a 6.158
_cell_length_b 6.158
_cell_length_c 11.656
_cell_angle_alpha 90.00
_cell_angle_beta 90.00
_cell_angle_gamma 90.00
_space_group_name_H-M_alt 'P 1'
_space_group_IT_number 1
loop_
_space_group_symop_operation_xyz
'x,y,z'
loop_
_atom_site_label
_atom_site_type_symbol
_atom_site_fract_x
_atom_site_fract_y
_atom_site_fract_z
In1 In 0.000 0.000 0.167
In2 In 0.000 0.000 0.833
In3 In 0.500 0.500 0.333
In4 In 0.500 0.500 0.667
Sn1 Sn 0.000 0.000 0.500
Sn2 Sn 0.500 0.500 0.000
S1 S 0.193 0.193 0.336
S2 S 0.193 0.193 0.664
S3 S 0.198 0.198 0.000
S4 S 0.302 0.698 0.500
S5 S 0.307 0.693 0.164
S6 S 0.307 0.693 0.836
S7 S 0.693 0.307 0.164
S8 S 0.693 0.307 0.836
S9 S 0.698 0.302 0.500
S10 S 0.802 0.802 0.000
S11 S 0.807 0.807 0.336
S12 S 0.807 0.807 0.664

---

# In10SnS14 PBE optimized geometry
# **Theoretical density**: 4.7 Mg/m³
# **Calculated volume**: 24.43 Å³/atom
# **Raw formation energy**: -0.51 eV per atom
data_In10SnS14
_cell_length_a 9.176
_cell_length_b 3.944
_cell_length_c 17.209
_cell_angle_alpha 90.00
_cell_angle_beta 101.27
_cell_angle_gamma 90.00
_space_group_name_H-M_alt 'P 1'
_space_group_IT_number 1
loop_
_space_group_symop_operation_xyz
'x,y,z'
loop_
_atom_site_label
_atom_site_type_symbol
_atom_site_fract_x
_atom_site_fract_y
_atom_site_fract_z
In1 In 0.000 0.000 0.000
In2 In 0.009 0.000 0.509
In3 In 0.053 0.500 0.206
In4 In 0.109 0.500 0.747
In5 In 0.219 0.000 0.411
In6 In 0.366 0.500 0.061
In7 In 0.391 0.000 0.660
In8 In 0.669 0.500 0.559
In9 In 0.694 0.000 0.131
In10 In 0.839 0.500 0.802
Sn1 Sn 0.656 0.000 0.332
S1 S 0.138 0.500 0.951
S2 S 0.182 0.000 0.138
S3 S 0.182 0.500 0.606
S4 S 0.273 0.500 0.329
S5 S 0.285 0.000 0.787
S6 S 0.468 0.000 0.517
S7 S 0.493 0.000 0.008
S8 S 0.556 0.500 0.195
S9 S 0.584 0.500 0.697
S10 S 0.775 0.000 0.883
S11 S 0.796 0.500 0.432
S12 S 0.851 0.000 0.612
S13 S 0.852 0.500 0.077
S14 S 0.900 0.000 0.263

---

# In6Sn8S19 PBE optimized geometry
# **Theoretical density**: 4.8 Mg/m³
# **Calculated volume**: 23.49 Å³/atom
# **Raw formation energy**: -0.46 eV per atom
data_In6Sn8S19
_cell_length_a 3.871
_cell_length_b 15.052
_cell_length_c 15.102
_cell_angle_alpha 115.24
_cell_angle_beta 96.62
_cell_angle_gamma 97.32
_space_group_name_H-M_alt 'P 1'
_space_group_IT_number 1
loop_
_space_group_symop_operation_xyz
'x,y,z'
loop_
_atom_site_label
_atom_site_type_symbol
_atom_site_fract_x
_atom_site_fract_y
_atom_site_fract_z
In1 In 0.000 0.000 0.000
In2 In 0.030 0.750 0.293
In3 In 0.266 0.035 0.518
In4 In 0.595 0.548 0.642
In5 In 0.626 0.971 0.270
In6 In 0.670 0.814 0.541
Sn1 Sn 0.300 0.784 0.813
Sn2 Sn 0.343 0.433 0.049
Sn3 Sn 0.371 0.667 0.027
Sn4 Sn 0.448 0.491 0.349
Sn5 Sn 0.709 0.239 0.170
Sn6 Sn 0.866 0.296 0.478
Sn7 Sn 0.914 0.111 0.781
Sn8 Sn 0.936 0.349 0.770
S1 S 0.023 0.840 0.179
S2 S 0.064 0.695 0.434
S3 S 0.124 0.193 0.041
S4 S 0.183 0.599 0.772
S5 S 0.231 0.088 0.378
S6 S 0.274 0.946 0.631
S7 S 0.300 0.290 0.304
S8 S 0.423 0.971 0.869
S9 S 0.431 0.632 0.191
S10 S 0.472 0.363 0.621
S11 S 0.519 0.258 0.848
S12 S 0.594 0.049 0.138
S13 S 0.647 0.890 0.405
S14 S 0.711 0.742 0.677
S15 S 0.772 0.522 0.965
S16 S 0.826 0.421 0.195
S17 S 0.864 0.152 0.621
S18 S 0.870 0.807 0.939
S19 S 0.989 0.488 0.502

---

# In12Sn3S5 PBE optimized geometry
# **Theoretical density**: 5.0 Mg/m³
# **Calculated volume**: 31.36 Å³/atom
# **Raw formation energy**: -0.08 eV per atom
data_In12Sn3S5
_cell_length_a 14.826
_cell_length_b 14.826
_cell_length_c 14.826
_cell_angle_alpha 109.47
_cell_angle_beta 109.47
_cell_angle_gamma 109.47
_space_group_name_H-M_alt 'P 1'
_space_group_IT_number 1
loop_
_space_group_symop_operation_xyz
'x,y,z'
loop_
_atom_site_label
_atom_site_type_symbol
_atom_site_fract_x
_atom_site_fract_y
_atom_site_fract_z
In1 In 0.049 0.222 0.135
In2 In 0.049 0.327 0.913
In3 In 0.087 0.635 0.413
In4 In 0.087 0.722 0.673
In5 In 0.087 0.865 0.413
In6 In 0.087 0.951 0.673
In7 In 0.135 0.049 0.222
In8 In 0.135 0.587 0.913
In9 In 0.173 0.222 0.587
In10 In 0.173 0.451 0.587
In11 In 0.222 0.135 0.049
In12 In 0.222 0.587 0.173
In13 In 0.278 0.327 0.913
In14 In 0.278 0.451 0.365
In15 In 0.327 0.913 0.049
In16 In 0.327 0.913 0.278
In17 In 0.365 0.278 0.451
In18 In 0.365 0.587 0.913
In19 In 0.413 0.087 0.635
In20 In 0.413 0.087 0.865
In21 In 0.413 0.827 0.549
In22 In 0.413 0.827 0.778
In23 In 0.451 0.365 0.278
In24 In 0.451 0.587 0.173
In25 In 0.549 0.413 0.827
In26 In 0.549 0.635 0.722
In27 In 0.587 0.173 0.222
In28 In 0.587 0.173 0.451
In29 In 0.587 0.913 0.135
In30 In 0.587 0.913 0.365
In31 In 0.635 0.413 0.087
In32 In 0.635 0.722 0.549
In33 In 0.673 0.087 0.722
In34 In 0.673 0.087 0.951
In35 In 0.722 0.549 0.635
In36 In 0.722 0.673 0.087
In37 In 0.778 0.413 0.827
In38 In 0.778 0.865 0.951
In39 In 0.827 0.549 0.413
In40 In 0.827 0.778 0.413
In41 In 0.865 0.413 0.087
In42 In 0.865 0.951 0.778
In43 In 0.913 0.049 0.327
In44 In 0.913 0.135 0.587
In45 In 0.913 0.278 0.327
In46 In 0.913 0.365 0.587
In47 In 0.951 0.673 0.087
In48 In 0.951 0.778 0.865
Sn1 Sn 0.125 0.250 0.375
Sn2 Sn 0.125 0.375 0.750
Sn3 Sn 0.250 0.375 0.125
Sn4 Sn 0.250 0.875 0.625
Sn5 Sn 0.375 0.125 0.250
Sn6 Sn 0.375 0.750 0.125
Sn7 Sn 0.625 0.250 0.875
Sn8 Sn 0.625 0.875 0.750
Sn9 Sn 0.750 0.125 0.375
Sn10 Sn 0.750 0.625 0.875
Sn11 Sn 0.875 0.625 0.250
Sn12 Sn 0.875 0.750 0.625
S1 S 0.000 0.000 0.000
S2 S 0.000 0.000 0.500
S3 S 0.000 0.500 0.000
S4 S 0.000 0.500 0.500
S5 S 0.125 0.750 0.875
S6 S 0.125 0.875 0.250
S7 S 0.250 0.125 0.875
S8 S 0.250 0.625 0.375
S9 S 0.375 0.250 0.625
S10 S 0.375 0.625 0.750
S11 S 0.500 0.000 0.000
S12 S 0.500 0.000 0.500
S13 S 0.500 0.500 0.000
S14 S 0.500 0.500 0.500
S15 S 0.625 0.375 0.250
S16 S 0.625 0.750 0.375
S17 S 0.750 0.375 0.625
S18 S 0.750 0.875 0.125
S19 S 0.875 0.125 0.750
S20 S 0.875 0.250 0.125

---

# InSn2S PBE optimized geometry
# **Energy above the lowest structure with this stoichiometry**: 27 kJ/mol of formula units
# **Theoretical density**: 4.7 Mg/m³
# **Calculated volume**: 33.74 Å³/atom
# **Raw formation energy**: 0.07 eV per atom
data_InSn2S
_cell_length_a 8.206
_cell_length_b 8.206
_cell_length_c 8.206
_cell_angle_alpha 135.25
_cell_angle_beta 135.25
_cell_angle_gamma 65.14
_space_group_name_H-M_alt 'P 1'
_space_group_IT_number 1
loop_
_space_group_symop_operation_xyz
'x,y,z'
loop_
_atom_site_label
_atom_site_type_symbol
_atom_site_fract_x
_atom_site_fract_y
_atom_site_fract_z
In1 In 0.000 0.000 0.000
In2 In 0.750 0.250 0.500
Sn1 Sn 0.148 0.625 0.023
Sn2 Sn 0.375 0.398 0.523
Sn3 Sn 0.602 0.125 0.977
Sn4 Sn 0.875 0.852 0.477
S1 S 0.250 0.750 0.500
S2 S 0.500 0.500 0.000

---

# In4SnS7 PBE optimized geometry
# **Theoretical density**: 3.7 Mg/m³
# **Calculated volume**: 29.72 Å³/atom
# **Raw formation energy**: -0.48 eV per atom
data_In4SnS7
_cell_length_a 16.402
_cell_length_b 6.643
_cell_length_c 6.545
_cell_angle_alpha 90.00
_cell_angle_beta 90.00
_cell_angle_gamma 90.00
_space_group_name_H-M_alt 'P 1'
_space_group_IT_number 1
loop_
_space_group_symop_operation_xyz
'x,y,z'
loop_
_atom_site_label
_atom_site_type_symbol
_atom_site_fract_x
_atom_site_fract_y
_atom_site_fract_z
In1 In 0.119 0.177 0.000
In2 In 0.249 0.327 0.468
In3 In 0.251 0.673 0.968
In4 In 0.381 0.823 0.500
In5 In 0.619 0.823 0.500
In6 In 0.749 0.673 0.968
In7 In 0.751 0.327 0.468
In8 In 0.881 0.177 0.000
Sn1 Sn 0.000 0.683 0.654
Sn2 Sn 0.500 0.317 0.154
S1 S 0.000 0.305 0.803
S2 S 0.108 0.801 0.934
S3 S 0.117 0.199 0.372
S4 S 0.249 0.692 0.362
S5 S 0.251 0.308 0.862
S6 S 0.383 0.801 0.872
S7 S 0.392 0.199 0.434
S8 S 0.500 0.695 0.303
S9 S 0.608 0.199 0.434
S10 S 0.617 0.801 0.872
S11 S 0.749 0.308 0.862
S12 S 0.751 0.692 0.362
S13 S 0.883 0.199 0.372
S14 S 0.892 0.801 0.934

---

- The highest calculated volume belongs to which entry?
  number 11

---

Repeat the ninth record exactly.
# In6Sn8S19 PBE optimized geometry
# **Theoretical density**: 4.8 Mg/m³
# **Calculated volume**: 23.49 Å³/atom
# **Raw formation energy**: -0.46 eV per atom
data_In6Sn8S19
_cell_length_a 3.871
_cell_length_b 15.052
_cell_length_c 15.102
_cell_angle_alpha 115.24
_cell_angle_beta 96.62
_cell_angle_gamma 97.32
_space_group_name_H-M_alt 'P 1'
_space_group_IT_number 1
loop_
_space_group_symop_operation_xyz
'x,y,z'
loop_
_atom_site_label
_atom_site_type_symbol
_atom_site_fract_x
_atom_site_fract_y
_atom_site_fract_z
In1 In 0.000 0.000 0.000
In2 In 0.030 0.750 0.293
In3 In 0.266 0.035 0.518
In4 In 0.595 0.548 0.642
In5 In 0.626 0.971 0.270
In6 In 0.670 0.814 0.541
Sn1 Sn 0.300 0.784 0.813
Sn2 Sn 0.343 0.433 0.049
Sn3 Sn 0.371 0.667 0.027
Sn4 Sn 0.448 0.491 0.349
Sn5 Sn 0.709 0.239 0.170
Sn6 Sn 0.866 0.296 0.478
Sn7 Sn 0.914 0.111 0.781
Sn8 Sn 0.936 0.349 0.770
S1 S 0.023 0.840 0.179
S2 S 0.064 0.695 0.434
S3 S 0.124 0.193 0.041
S4 S 0.183 0.599 0.772
S5 S 0.231 0.088 0.378
S6 S 0.274 0.946 0.631
S7 S 0.300 0.290 0.304
S8 S 0.423 0.971 0.869
S9 S 0.431 0.632 0.191
S10 S 0.472 0.363 0.621
S11 S 0.519 0.258 0.848
S12 S 0.594 0.049 0.138
S13 S 0.647 0.890 0.405
S14 S 0.711 0.742 0.677
S15 S 0.772 0.522 0.965
S16 S 0.826 0.421 0.195
S17 S 0.864 0.152 0.621
S18 S 0.870 0.807 0.939
S19 S 0.989 0.488 0.502

---

Copy entry 7 word for word.
# In2SnS6 PBE optimized geometry
# **Theoretical density**: 4.1 Mg/m³
# **Calculated volume**: 24.56 Å³/atom
# **Raw formation energy**: -0.10 eV per atom
data_In2SnS6
_cell_length_a 6.158
_cell_length_b 6.158
_cell_length_c 11.656
_cell_angle_alpha 90.00
_cell_angle_beta 90.00
_cell_angle_gamma 90.00
_space_group_name_H-M_alt 'P 1'
_space_group_IT_number 1
loop_
_space_group_symop_operation_xyz
'x,y,z'
loop_
_atom_site_label
_atom_site_type_symbol
_atom_site_fract_x
_atom_site_fract_y
_atom_site_fract_z
In1 In 0.000 0.000 0.167
In2 In 0.000 0.000 0.833
In3 In 0.500 0.500 0.333
In4 In 0.500 0.500 0.667
Sn1 Sn 0.000 0.000 0.500
Sn2 Sn 0.500 0.500 0.000
S1 S 0.193 0.193 0.336
S2 S 0.193 0.193 0.664
S3 S 0.198 0.198 0.000
S4 S 0.302 0.698 0.500
S5 S 0.307 0.693 0.164
S6 S 0.307 0.693 0.836
S7 S 0.693 0.307 0.164
S8 S 0.693 0.307 0.836
S9 S 0.698 0.302 0.500
S10 S 0.802 0.802 0.000
S11 S 0.807 0.807 0.336
S12 S 0.807 0.807 0.664